The following is a PBE with a Hubbard U calculation of crystalline Li2Ni3SnO8 at its relaxed geometry, from the Alexandria database.

a = 5.9049 Å, b = 6.0603 Å, c = 8.2500 Å
α = 87.90°, β = 90.29°, γ = 87.86°
Last column: nearest neighbours and their distance in Å.
Positions (direct):
Li1 0.0042 0.2420 0.1209  4 O 1.91-2.13
Li2 0.5049 0.7401 0.6137  3 O 1.92-1.95
Li3 0.9951 0.7599 0.8863  3 O 1.92-1.95
Li4 0.4958 0.2580 0.3791  4 O 1.91-2.13
Ni1 0.7500 0.2500 0.7500  6 O 1.88-1.92
Ni2 0.7500 0.7500 0.2500  6 O 1.89-1.91
Ni3 0.2500 0.2500 0.7500  6 O 2.00-2.07
Ni4 0.9906 0.4962 0.4964  5 O 1.90-2.11
Ni5 0.5094 0.0038 0.0036  5 O 1.90-2.11
Ni6 0.2500 0.7500 0.2500  6 O 1.90-2.11
Sn1 0.9954 0.9980 0.5000  6 O 2.05-2.11
Sn2 0.5046 0.5020 0.0000  6 O 2.05-2.11
O1 0.9849 0.5256 0.2661  3 Ni 1.90-2.11
O2 0.5171 0.0375 0.7686  3 Ni 1.92-2.00
O3 0.9829 0.4625 0.7314  3 Ni 1.92-2.00
O4 0.5151 0.9744 0.2339  3 Ni 1.90-2.11
O5 0.2358 0.7465 0.4806  1 Ni 1.90, 1 Li 1.93, 1 Sn 2.05
O6 0.7480 0.2523 0.9778  1 Ni 1.88, 1 Li 1.91, 1 Sn 2.06
O7 0.7694 0.7386 0.4788  2 Ni 1.89-1.93, 1 Li 1.92, 1 Sn 2.11
O8 0.2816 0.2428 0.9926  2 Ni 1.94-2.01, 1 Li 1.96, 1 Sn 2.09
O9 0.9843 0.9581 0.2484  2 Ni 1.91-1.98, 1 Li 1.99, 1 Sn 2.10
O10 0.5100 0.4698 0.7497  2 Ni 1.91-2.07, 1 Li 1.95, 1 Sn 2.08
O11 0.9900 0.0302 0.7503  2 Ni 1.91-2.07, 1 Li 1.95, 1 Sn 2.08
O12 0.5157 0.5419 0.2516  2 Ni 1.91-1.98, 1 Li 1.99, 1 Sn 2.10
O13 0.2184 0.2572 0.5074  2 Ni 1.94-2.01, 1 Li 1.96, 1 Sn 2.09
O14 0.7306 0.7614 0.0212  2 Ni 1.89-1.93, 1 Li 1.92, 1 Sn 2.11
O15 0.7520 0.2477 0.5222  1 Ni 1.88, 1 Li 1.91, 1 Sn 2.06
O16 0.2642 0.7535 0.0194  1 Ni 1.90, 1 Li 1.93, 1 Sn 2.05

Values from the calculation:
Raw total energy ... -5.11 eV/atom
Space group ... P-1